# CsMoAu

An optimized crystal structure of CsMoAu (GGA-PBE, the Alexandria database).

a b c (Å): 11.6216 3.3407 10.1960
angles (deg): 90.00 90.00 90.00
Closest atoms and distances in Å follow each position.
Space group Pnma (No. 62)
Symmetry-distinct sites (fractional):
1 Cs 0.1773 0.2500 0.0884 [4 per cell]  2 Cs 3.34, 3 Au 3.62-3.68
2 Mo 0.0308 0.2500 0.4267 [4 per cell]  2 Mo 2.35
3 Au 0.0789 0.2500 0.7514 [4 per cell]  2 Mo 2.78

Formation enthalpy at 0 K = 0.579 eV per atom
Theoretical density = 7.145 g/cm3
M_tot = 0.0 μB per formula unit



# CsMoAu2

An optimized crystal structure of CsMoAu2 (GGA-PBE, the Alexandria database).

a b c (Å): 7.2359 7.2359 7.2359
angles (deg): 90.00 90.00 90.00
Closest atoms and distances in Å follow each position.
Space group Fm-3m (No. 225)
Symmetry-distinct sites (fractional):
1 Cs 0.0000 0.0000 0.0000 [4 per cell]  8 Au 3.13
2 Mo 0.0000 0.0000 0.5000 [4 per cell]  8 Au 3.13
3 Au 0.2500 0.2500 0.2500 [8 per cell]  4 Mo 3.13, 4 Cs 3.13

Formation enthalpy at 0 K = 1.102 eV per atom
Theoretical density = 10.918 g/cm3
M_tot = 4.2 μB per formula unit



# CsMo3Au

An optimized crystal structure of CsMo3Au (GGA-PBE, the Alexandria database).

a b c (Å): 4.8669 4.8669 4.8669
angles (deg): 90.00 90.00 90.00
Closest atoms and distances in Å follow each position.
Space group Pm-3m (No. 221)
Symmetry-distinct sites (fractional):
1 Cs 0.0000 0.0000 0.0000 [1 per cell]  6 Mo 2.43
2 Mo 0.0000 0.0000 0.5000 [3 per cell]  2 Cs 2.43
3 Au 0.5000 0.5000 0.5000 [1 per cell]  12 Mo 3.44

Formation enthalpy at 0 K = 3.111 eV per atom
Theoretical density = 8.898 g/cm3
M_tot = 0.0 μB per formula unit



# CsMoOsAu2

An optimized crystal structure of CsMoOsAu2 (GGA-PBE, the Alexandria database).

a b c (Å): 5.9081 5.9081 5.9806
angles (deg): 90.00 90.00 90.00
Closest atoms and distances in Å follow each position.
Space group P4/mmm (No. 123)
Symmetry-distinct sites (fractional):
1 Cs 0.0000 0.0000 0.0000 [1 per cell]  4 Au 2.95, 2 Mo 2.99
2 Mo 0.0000 0.0000 0.5000 [1 per cell]  2 Cs 2.99
3 Os 0.5000 0.5000 0.5000 [1 per cell]  4 Mo 4.18, 8 Au 4.20
4 Au 0.0000 0.5000 0.0000 [2 per cell]  2 Cs 2.95

Formation enthalpy at 0 K = 3.216 eV per atom
Theoretical density = 6.467 g/cm3
M_tot = 8.9 μB per formula unit



# CsMoPt2Au

An optimized crystal structure of CsMoPt2Au (GGA-PBE, the Alexandria database).

a b c (Å): 4.8293 4.8293 6.3296
angles (deg): 90.00 90.00 90.00
Closest atoms and distances in Å follow each position.
Space group P4/mmm (No. 123)
Symmetry-distinct sites (fractional):
1 Cs 0.0000 0.0000 0.0000 [1 per cell]  2 Mo 3.16, 4 Au 3.41
2 Mo 0.0000 0.0000 0.5000 [1 per cell]  4 Pt 2.41
3 Pt 0.0000 0.5000 0.5000 [2 per cell]  2 Mo 2.41
4 Au 0.5000 0.5000 0.0000 [1 per cell]  4 Cs 3.41

Formation enthalpy at 0 K = 1.185 eV per atom
Theoretical density = 9.179 g/cm3
M_tot = 0.0 μB per formula unit



# CsMoRh2Au

An optimized crystal structure of CsMoRh2Au (GGA-PBE, the Alexandria database).

a b c (Å): 4.8003 4.8003 5.4460
angles (deg): 90.00 90.00 90.00
Closest atoms and distances in Å follow each position.
Space group P4/mmm (No. 123)
Symmetry-distinct sites (fractional):
1 Cs 0.0000 0.0000 0.0000 [1 per cell]  4 Au 3.39, 8 Rh 3.63
2 Mo 0.5000 0.5000 0.5000 [1 per cell]  4 Rh 2.40
3 Rh 0.0000 0.5000 0.5000 [2 per cell]  2 Mo 2.40
4 Au 0.5000 0.5000 0.0000 [1 per cell]  2 Mo 2.72

Formation enthalpy at 0 K = 0.818 eV per atom
Theoretical density = 8.358 g/cm3
M_tot = 0.0 μB per formula unit



# CsMo2AuS

An optimized crystal structure of CsMo2AuS (GGA-PBE, the Alexandria database).

a b c (Å): 6.3117 6.3117 5.3423
angles (deg): 90.00 90.00 90.00
Closest atoms and distances in Å follow each position.
Space group P4/mmm (No. 123)
Symmetry-distinct sites (fractional):
1 Cs 0.0000 0.0000 0.0000 [1 per cell]  2 S 2.67
2 Mo 0.0000 0.5000 0.0000 [2 per cell]  2 Cs 3.16
3 Au 0.5000 0.5000 0.5000 [1 per cell]  8 Mo 4.13, 4 S 4.46
4 S 0.0000 0.0000 0.5000 [1 per cell]  2 Cs 2.67

ΔE_f (raw) = 1363 kJ/mol of formula units
Theoretical density = 4.321 g/cm3
M_tot = 10.7 μB per formula unit



# CsAuN2

An optimized crystal structure of CsAuN2 (GGA-PBE, the Alexandria database).

a b c (Å): 6.5151 6.5151 6.5151
angles (deg): 90.00 90.00 90.00
Closest atoms and distances in Å follow each position.
Space group Fm-3m (No. 225)
Symmetry-distinct sites (fractional):
1 Cs 0.0000 0.0000 0.0000 [4 per cell]  8 N 2.82
2 Au 0.0000 0.0000 0.5000 [4 per cell]  8 N 2.82
3 N 0.2500 0.2500 0.2500 [8 per cell]  4 Cs 2.82, 4 Au 2.82

ΔE to the lowest computed polymorph = 58.23 kcal/mol of atoms
ΔE_f (raw) = 916 kJ/mol of formula units
Theoretical density = 8.596 g/cm3
M_tot = 0.0 μB per formula unit